Entry from Alexandria: AlNi2Te at its PBEsol-relaxed geometry (SCAN).

The structure in POSCAR format:
```
AlNi2Te
1.0
-0.5477 3.0651 1.4536
-3.2760 -0.0957 -1.0326
-1.2831 -2.2592 4.2803
Ni Te Al
2 1 1
Cartesian
-1.2336 -2.1721 4.1152
-2.2687 0.8564 1.4008
-0.5857 -1.0313 1.9538
-2.9435 -0.3318 3.6520
```

Values from the calculation:
- Density: 7.6 Mg/m³
- E_form (uncorrected): -0.138 eV/atom
- Space group: P4mm
- Crystal system: tetragonal
- VASP energy: -77.90 eV per formula unit

***

Entry from Alexandria: RhCBr3 at its PBEsol-relaxed geometry (SCAN).

The structure in POSCAR format:
```
RhCBr3
1.0
-4.0937 2.4761 1.1592
-2.6391 -3.0337 -2.8399
-0.7140 -2.9831 3.8502
C Rh Br
1 1 3
Cartesian
-3.7234 -1.7703 1.0848
0.0000 0.0000 0.0000
-1.3196 -1.5168 -1.4199
-0.3570 -1.4915 1.9251
-2.0468 1.2380 0.5796
```

Values from the calculation:
- Density: 4.9 Mg/m³
- E_form (uncorrected): 1.395 eV/atom
- Space group: Pm-3m
- Crystal system: cubic
- VASP energy: -95.27 eV per formula unit

***

Entry from Alexandria: LiBi3P6O20 at its PBEsol-relaxed geometry (SCAN).

The structure in POSCAR format:
```
LiBi3P6O20
1.0
8.5694 -0.2310 0.0000
-2.5615 8.1809 0.0000
0.0000 0.0000 12.6526
Li Bi P O
2 6 12 40
Cartesian
3.0825 4.0789 0.0000
2.9254 3.8710 6.3263
0.8593 1.1371 6.3263
5.6725 1.9582 3.1632
0.3354 5.9916 9.4895
5.8799 1.8015 9.4895
0.1280 6.1484 3.1632
5.1486 6.8128 0.0000
0.5939 3.1853 1.9037
2.9022 1.4409 10.7489
0.8215 2.6096 9.0693
2.2863 1.5026 3.5833
-0.8900 5.9574 6.6052
5.9741 0.7701 6.0475
6.8979 1.9925 0.2789
0.0338 7.1798 12.3738
5.1864 5.3402 2.7430
3.7216 6.4472 9.9096
5.4140 4.7646 8.2300
3.1057 6.5090 4.4226
1.0960 1.7915 2.5382
1.4243 1.5435 10.1144
-0.1402 2.6449 0.6055
2.5827 0.5872 12.0471
1.7250 2.6158 7.8030
2.0455 2.3736 4.8496
6.4337 4.1914 9.1980
2.2759 7.3335 3.4546
3.5396 1.8326 2.7881
0.7968 3.9054 9.8645
3.9611 7.8949 10.3424
6.5137 5.9658 2.3102
1.7113 4.0730 1.4693
3.4512 2.7582 11.1833
-0.8774 5.7830 5.1174
5.8029 0.7346 7.5352
-1.3181 6.6554 11.8231
6.7625 0.5488 0.8295
0.0952 5.0804 7.3704
4.8615 1.4784 5.2822
5.9127 2.8695 1.0441
1.1464 6.4714 11.6085
7.3260 1.2945 5.4968
-0.7546 7.4011 7.1558
6.8853 2.1668 11.4437
0.2050 7.2153 1.2089
4.2965 3.8768 7.7956
2.5567 5.1917 4.8570
-0.5058 1.9840 8.6365
2.0468 0.0550 4.0161
2.4683 6.1173 9.1144
5.2111 4.0445 3.5382
-0.4258 3.7585 2.8717
3.7320 0.6164 9.7809
4.2828 5.3341 1.4767
3.9623 5.5763 11.1759
6.1481 5.3050 6.9318
3.4252 7.3627 5.7208
4.9119 6.1584 8.8645
4.5836 6.4064 3.7881
```

Values from the calculation:
- Density: 4.3 Mg/m³
- E_form (uncorrected): -2.128 eV/atom
- Distance to the lowest polymorph of the same formula: 0 meV/atom
- Space group: C222_1
- Crystal system: orthorhombic
- VASP energy: -488.98 eV per formula unit

***

Entry from Alexandria: ZrNbAl6 at its PBEsol-relaxed geometry (SCAN).

The structure in POSCAR format:
```
ZrNbAl6
1.0
3.8718 0.0000 0.0000
0.0000 3.8718 0.0000
0.0000 0.0000 8.7735
Nb Al Zr
1 6 1
Cartesian
0.0000 0.0000 0.0000
1.9359 1.9359 0.0000
0.0000 0.0000 4.3867
0.0000 1.9359 2.1458
1.9359 0.0000 6.6277
1.9359 0.0000 2.1458
0.0000 1.9359 6.6277
1.9359 1.9359 4.3867
```

Values from the calculation:
- Formation enthalpy at 0 K: -474 meV per atom
- Density: 4.4 Mg/m³
- Space group: P4/mmm
- Crystal system: tetragonal
- VASP energy: -114.13 eV per formula unit

***

Entry from Alexandria: Ba2Fe2S2OF2 at its PBEsol-relaxed geometry (SCAN).

The structure in POSCAR format:
```
Ba2Fe2S2OF2
1.0
4.0422 0.0000 0.0000
0.0000 4.0422 0.0000
-2.0211 -2.0211 9.5498
Ba Fe S O F
2 2 2 1 2
Cartesian
2.0211 2.0211 3.1403
0.0000 0.0000 6.4095
0.0000 2.0211 0.0000
2.0211 0.0000 0.0000
0.0000 0.0000 1.5960
2.0211 2.0211 7.9538
2.0211 2.0211 0.0000
2.0211 0.0000 4.7749
0.0000 2.0211 4.7749
```

Values from the calculation:
- Density: 5.4 Mg/m³
- E_form (uncorrected): -2.314 eV/atom
- Space group: I4/mmm
- Crystal system: tetragonal
- VASP energy: -168.76 eV per formula unit

***

Entry from Alexandria: MgTlSb2Au at its PBEsol-relaxed geometry (SCAN).

The structure in POSCAR format:
```
MgTlSb2Au
1.0
5.0131 0.0000 0.0000
0.0000 5.4074 0.0000
0.0000 0.0000 5.4074
Sb Tl Au Mg
2 1 1 1
Cartesian
0.0000 0.0000 2.7037
0.0000 2.7037 0.0000
2.5066 2.7037 2.7037
0.0000 0.0000 0.0000
2.5066 0.0000 0.0000
```

Values from the calculation:
- Density: 7.6 Mg/m³
- E_form (uncorrected): 0.116 eV/atom
- Space group: P4/mmm
- Crystal system: tetragonal
- VASP energy: -220.43 eV per formula unit

***

Entry from Alexandria: MoOs2 at its PBEsol-relaxed geometry (SCAN).

The structure in POSCAR format:
```
MoOs2
1.0
2.7428 0.0000 0.0000
-1.3714 4.9913 0.0012
0.0000 -1.5833 6.2830
Mo Os
2 4
Cartesian
1.3714 3.3902 6.2621
1.3714 1.1588 2.1051
0.0000 3.4367 1.7567
0.0000 -0.4296 3.8502
0.0000 2.2640 4.1920
1.3714 0.7485 5.9229
```

Values from the calculation:
- Formation enthalpy at 0 K: -4 meV per atom
- Density: 18.4 Mg/m³
- Distance to the lowest polymorph of the same formula: 22 meV/atom
- Space group: Cm
- Crystal system: monoclinic
- VASP energy: -178.66 eV per formula unit

***

Entry from Alexandria: CaAcZn2 at its PBEsol-relaxed geometry (SCAN).

The structure in POSCAR format:
```
CaAcZn2
1.0
-1.4370 0.5921 -5.0554
3.4360 -1.0881 -3.8707
-0.7228 -4.2533 -3.0593
Zn Ac Ca
2 1 1
Cartesian
0.9572 -3.5620 -8.9890
0.3191 -1.1873 -2.9963
0.0000 0.0000 0.0000
0.6381 -2.3747 -5.9927
```

Values from the calculation:
- Formation enthalpy at 0 K: -317 meV per atom
- Density: 6.3 Mg/m³
- Space group: Fm-3m
- Crystal system: cubic
- VASP energy: -128.44 eV per formula unit

***

Q: Among the records above, which one has the lowest density?
A: LiBi3P6O20